Below is an optimized crystal structure of LiGdPaOs, with properties calculated at the PBE level.

Lattice parameters (Å, degrees): 4.9126 4.9126 4.9126 60.00 60.00 60.00
Sites, in units of the cell vectors:
Li: 0.0000 0.0000 0.0000
Gd: 0.2500 0.2500 0.2500
Pa: 0.7500 0.7500 0.7500
Os: 0.5000 0.5000 0.5000

Properties
Its energy of formation from the pure elements is -0.1 eV/f.u. As for the mass density: 11.60 g cm⁻³. Its space-group type is No. 216. The value obtained for the density of states at the Fermi level is 4.35 states/eV/f.u. The calculation puts the final energy at -9.214 eV per atom.